1.
HfReTe2 PBE optimized geometry; uncorrected formation energy = 0.28 eV per atom; symmetry = No. 225; E above lowest polymorph = 0 meV/atom
1.0
0.0000 3.4252 3.4252
3.4252 0.0000 3.4252
3.4252 3.4252 0.0000
Te Re Hf
2 1 1
Direct
0.7500 0.7500 0.7500 Te
0.2500 0.2500 0.2500 Te
0.5000 0.5000 0.5000 Re
0.0000 0.0000 0.0000 Hf

***

2.
TcTePO2 PBE optimized geometry; uncorrected formation energy = -0.53 eV per atom; symmetry = No. 123; E above lowest polymorph = 0 meV/atom
1.0
-1.5274 3.2626 -1.2174
-2.0128 -1.9119 -2.5986
-4.1448 -0.5825 3.6391
O P Te Tc
2 1 1 1
Direct
0.5000 0.0000 0.0000 O
0.0000 0.5000 0.0000 O
0.0000 0.0000 0.5000 P
0.5000 0.5000 0.5000 Te
0.0000 0.0000 0.0000 Tc

***

3.
TbSm4Co2 PBE optimized geometry; symmetry = No. 11; formation enthalpy at 0 K = 0.11 eV/f.u.
1.0
-0.3256 3.6163 -5.4299
6.4774 -3.4226 -2.6679
-6.5055 -3.7024 -2.0757
Tb Co Sm
2 4 8
Direct
0.2500 0.8387 0.9706 Tb
0.7500 0.1613 0.0294 Tb
0.7500 0.7407 0.0089 Co
0.2500 0.2593 0.9911 Co
0.2500 0.6322 0.5986 Co
0.7500 0.3678 0.4014 Co
0.2500 0.2475 0.3265 Sm
0.9965 0.4116 0.7588 Sm
0.0035 0.5884 0.2412 Sm
0.7500 0.0182 0.3723 Sm
0.4965 0.5884 0.2412 Sm
0.2500 0.9818 0.6277 Sm
0.5035 0.4116 0.7588 Sm
0.7500 0.7525 0.6735 Sm

***

4.
ScCr2Te PBE optimized geometry; uncorrected formation energy = 0.23 eV per atom; symmetry = No. 123
1.0
3.4606 0.6420 0.0000
-0.6422 3.4606 0.0000
0.0000 0.0000 6.0369
Cr Sc Te
2 1 1
Direct
0.0000 0.0000 0.9950 Cr
0.0000 0.0000 0.5050 Cr
0.5000 0.5000 0.2500 Sc
0.5000 0.5000 0.7500 Te

***

5.
Pr7Dy2Tm3 PBE optimized geometry; symmetry = No. 10; formation enthalpy at 0 K = 0.85 eV/f.u.; E above lowest polymorph = 0 meV/atom
1.0
-1.3224 -2.5859 2.0830
4.3775 -4.1667 -2.3935
14.4022 1.4628 10.9591
Tm Dy Pr
3 2 7
Direct
0.0000 0.1165 0.3409 Tm
0.0000 0.8835 0.6591 Tm
0.5000 0.5000 0.0000 Tm
0.5000 0.6098 0.3300 Dy
0.5000 0.3902 0.6700 Dy
0.0000 0.5551 0.1667 Pr
0.0000 0.4449 0.8333 Pr
0.5000 0.7650 0.4931 Pr
0.5000 0.9473 0.8265 Pr
0.5000 0.0527 0.1735 Pr
0.0000 0.0000 0.0000 Pr
0.5000 0.2350 0.5069 Pr

***

6.
YRh4Cl PBE optimized geometry; uncorrected formation energy = -0.02 eV per atom; symmetry = No. 216
1.0
0.0000 3.7534 3.7534
3.7534 0.0000 3.7534
3.7534 3.7534 0.0000
Rh Y Cl
4 1 1
Direct
0.3754 0.8739 0.3754 Rh
0.8739 0.3754 0.3754 Rh
0.3754 0.3754 0.3754 Rh
0.3754 0.3754 0.8739 Rh
0.7500 0.7500 0.7500 Y
0.0000 0.0000 0.0000 Cl

***

7.
PPbSe3 PBE optimized geometry; uncorrected formation energy = 0.06 eV per atom; symmetry = No. 221; E above lowest polymorph = 376 meV/atom
1.0
4.9413 0.0000 0.0000
0.0000 4.9413 0.0000
0.0000 0.0000 4.9413
P Pb Se
1 1 3
Direct
0.0000 0.0000 0.0000 P
0.5000 0.5000 0.5000 Pb
0.0000 0.5000 0.0000 Se
0.0000 0.0000 0.5000 Se
0.5000 0.0000 0.0000 Se

***

8.
SrCaSi2 PBE optimized geometry; uncorrected formation energy = -0.34 eV per atom; symmetry = No. 12; E above lowest polymorph = 156 meV/atom
1.0
5.4773 -0.0118 0.0075
3.9980 3.7439 0.0075
3.3119 1.3045 5.6762
Si Ca Sr
2 1 1
Direct
0.4957 0.4957 0.3613 Si
0.0043 0.0043 0.1387 Si
0.2500 0.2500 0.2500 Ca
0.7500 0.7500 0.7500 Sr

***

9.
SmPuCu4 PBE optimized geometry; symmetry = No. 119; formation enthalpy at 0 K = -0.40 eV/f.u.; E above lowest polymorph = 0 meV/atom
1.0
-1.7824 3.2194 1.3498
-3.2468 -0.9722 -1.9688
0.0280 -5.0281 6.3386
Cu Pu Sm
4 1 1
Direct
0.6695 0.1695 0.3389 Cu
0.4202 0.4202 0.8405 Cu
0.5798 0.5798 0.1595 Cu
0.8305 0.3305 0.6611 Cu
0.0000 0.0000 0.0000 Pu
0.2500 0.7500 0.5000 Sm

***

10.
LiYVCo2 PBE optimized geometry; symmetry = No. 123; formation enthalpy at 0 K = 3.48 eV/f.u.
1.0
4.2773 0.0000 0.0000
0.0000 4.2457 0.0000
0.0000 0.0000 4.2773
V Co Y Li
1 2 1 1
Direct
0.0000 0.5000 0.0000 V
0.0000 0.0000 0.5000 Co
0.5000 0.0000 0.0000 Co
0.5000 0.5000 0.5000 Y
0.0000 0.0000 0.0000 Li

***

11.
Na2TlInHg2 PBE optimized geometry; symmetry = No. 26; formation enthalpy at 0 K = -0.81 eV/f.u.
1.0
-4.0324 -0.8565 -3.0100
1.3161 -8.0425 0.5252
-4.8923 -0.3658 6.6583
Hg Na Tl In
4 4 2 2
Direct
0.5000 0.7832 0.5789 Hg
0.0000 0.2607 0.8280 Hg
0.5000 0.2832 0.4211 Hg
0.0000 0.7607 0.1720 Hg
0.5000 0.5095 0.8682 Na
0.0000 0.8521 0.8171 Na
0.5000 0.0095 0.1318 Na
0.0000 0.3521 0.1829 Na
0.0000 0.0327 0.4450 Tl
0.0000 0.5327 0.5550 Tl
0.5000 0.1074 0.7357 In
0.5000 0.6074 0.2643 In

***

12.
MgTa3 PBE optimized geometry; symmetry = No. 65; formation enthalpy at 0 K = 0.54 eV/f.u.; E above lowest polymorph = 0 meV/atom
1.0
-2.5025 -1.0013 0.9986
1.4338 -2.1499 -1.2587
4.2125 -2.1244 8.4269
Mg Ta
1 3
Direct
0.0000 0.0000 0.0000 Mg
0.0000 0.0000 0.5000 Ta
0.5000 0.5000 0.7373 Ta
0.5000 0.5000 0.2627 Ta

***

Question: What is the formula in the twelfth record?
Answer: MgTa3